# Rb4CdIn3 (PBE, optimized geometry)
data_Rb4CdIn3
_cell_length_a 5.9145
_cell_length_b 5.9145
_cell_length_c 8.4686
_cell_angle_alpha 90.00
_cell_angle_beta 90.00
_cell_angle_gamma 90.00
_symmetry_space_group_name_H-M 'P 1'
_symmetry_Int_Tables_number 1
_symmetry_space_group_name_Hall 'P 1'
loop_
_atom_site_label
_atom_site_type_symbol
_atom_site_fract_x
_atom_site_fract_y
_atom_site_fract_z
Rb1 Rb 0.0000 0.0000 0.0000
Rb2 Rb 0.0000 0.5000 0.7455
Rb3 Rb 0.5000 0.0000 0.2545
Rb4 Rb 0.5000 0.5000 0.5000
Cd1 Cd 0.0000 0.0000 0.5000
In1 In 0.0000 0.5000 0.2431
In2 In 0.5000 0.0000 0.7569
In3 In 0.5000 0.5000 0.0000
# Calculated density (g cm⁻³): 4.48
# Uncorrected energy (eV/atom): -1.59